P) # InPtBr2, relaxed, DFT PBE
data_InPtBr2
_cell_length_a 7.1073
_cell_length_b 7.1073
_cell_length_c 7.1073
_cell_angle_alpha 90.00
_cell_angle_beta 90.00
_cell_angle_gamma 90.00
_symmetry_space_group_name_H-M 'F -4 3 m'
_symmetry_Int_Tables_number 216
_symmetry_space_group_name_Hall 'F -4 2 3'
loop_
_atom_site_label
_atom_site_type_symbol
_atom_site_fract_x
_atom_site_fract_y
_atom_site_fract_z
In1 In 0.0000 0.0000 0.0000
Pt1 Pt 0.2500 0.2500 0.2500
Br1 Br 0.0000 0.0000 0.5000
Br2 Br 0.2500 0.2500 0.7500
# * crystal system: cubic

***

Q) # InPtBr2, relaxed, DFT PBE
data_InPtBr2
_cell_length_a 6.5898
_cell_length_b 7.9536
_cell_length_c 5.1358
_cell_angle_alpha 90.00
_cell_angle_beta 129.77
_cell_angle_gamma 90.00
_symmetry_space_group_name_H-M 'C 1 2/m 1'
_symmetry_Int_Tables_number 12
_symmetry_space_group_name_Hall '-C 2y'
loop_
_atom_site_label
_atom_site_type_symbol
_atom_site_fract_x
_atom_site_fract_y
_atom_site_fract_z
In1 In 0.0000 0.0000 0.0000
Pt1 Pt 0.0000 0.5000 0.0000
Br1 Br 0.2500 0.2500 0.5000
# * crystal system: monoclinic

***

Q) (0.219 eV/atom below the next structure)